(1)
# LiTe3Pt (PBEsol, relaxed)
# E ... -16.42 eV/cell
# Raw formation energy ... 298 kJ/mol of formula units
# Magnetization ... 0.00 μB/atom
data_LiTe3Pt
_cell_length_a 4.823
_cell_length_b 4.823
_cell_length_c 4.823
_cell_angle_alpha 90.00
_cell_angle_beta 90.00
_cell_angle_gamma 90.00
_space_group_name_H-M_alt 'P m -3 m'
_space_group_IT_number 221
_space_group_name_Hall '-P 4 2 3'
loop_
_atom_site_label
_atom_site_type_symbol
_atom_site_fract_x
_atom_site_fract_y
_atom_site_fract_z
Li1 Li 0.000 0.000 0.000
Te1 Te 0.000 0.000 0.500
Pt1 Pt 0.500 0.500 0.500

---

(2)
# Mg2ZnW (PBEsol, relaxed)
# ΔH_f (0 K) ... 0.544 eV/atom
# E ... -16.65 eV/cell
# Magnetization ... 0.00 μB/atom
data_Mg2ZnW
_cell_length_a 4.825
_cell_length_b 4.825
_cell_length_c 2.900
_cell_angle_alpha 90.00
_cell_angle_beta 90.00
_cell_angle_gamma 90.00
_space_group_name_H-M_alt 'P 4/m m m'
_space_group_IT_number 123
_space_group_name_Hall '-P 4 2'
loop_
_atom_site_label
_atom_site_type_symbol
_atom_site_fract_x
_atom_site_fract_y
_atom_site_fract_z
Mg1 Mg 0.000 0.500 0.000
Zn1 Zn 0.000 0.000 0.500
W1 W 0.500 0.500 0.500

---

(3)
# Rb3EuF6 (PBEsol, relaxed)
# E ... -222.04 eV/cell
# Raw formation energy ... -2924 kJ/mol of formula units
# Magnetization ... 0.60 μB/atom
data_Rb3EuF6
_cell_length_a 9.627
_cell_length_b 9.627
_cell_length_c 9.627
_cell_angle_alpha 90.00
_cell_angle_beta 90.00
_cell_angle_gamma 90.00
_space_group_name_H-M_alt 'F m -3 m'
_space_group_IT_number 225
_space_group_name_Hall '-F 4 2 3'
loop_
_atom_site_label
_atom_site_type_symbol
_atom_site_fract_x
_atom_site_fract_y
_atom_site_fract_z
Rb1 Rb 0.000 0.000 0.000
Rb2 Rb 0.250 0.250 0.250
Eu1 Eu 0.000 0.000 0.500
F1 F 0.000 0.000 0.271

---

(4)
# CoRuW2 (PBEsol, relaxed)
# ΔH_f (0 K) ... 0.263 eV/atom
# E ... -177.90 eV/cell
# ΔE to the lowest computed polymorph ... 223 meV per atom
# Magnetization ... 0.00 μB/atom
data_CoRuW2
_cell_length_a 6.049
_cell_length_b 6.049
_cell_length_c 6.049
_cell_angle_alpha 90.00
_cell_angle_beta 90.00
_cell_angle_gamma 90.00
_space_group_name_H-M_alt 'F -4 3 m'
_space_group_IT_number 216
_space_group_name_Hall 'F -4 2 3'
loop_
_atom_site_label
_atom_site_type_symbol
_atom_site_fract_x
_atom_site_fract_y
_atom_site_fract_z
Co1 Co 0.000 0.000 0.000
Ru1 Ru 0.250 0.250 0.750
W1 W 0.000 0.000 0.500
W2 W 0.250 0.250 0.250

---

(5)
# BaSm2Ti3O10 (PBEsol, relaxed)
# E ... -568.52 eV/cell
# Raw formation energy ... -5050 kJ/mol of formula units
# Magnetization ... 0.00 μB/atom
data_BaSm2Ti3O10
_cell_length_a 3.873
_cell_length_b 27.895
_cell_length_c 7.579
_cell_angle_alpha 90.00
_cell_angle_beta 90.00
_cell_angle_gamma 90.00
_space_group_name_H-M_alt 'C m c m'
_space_group_IT_number 63
_space_group_name_Hall '-C 2c 2'
loop_
_atom_site_label
_atom_site_type_symbol
_atom_site_fract_x
_atom_site_fract_y
_atom_site_fract_z
Ba1 Ba 0.000 0.244 0.250
Sm1 Sm 0.000 0.073 0.250
Sm2 Sm 0.000 0.081 0.750
Ti1 Ti 0.000 0.355 0.506
Ti2 Ti 0.000 0.500 0.000
O1 O 0.000 0.000 0.000
O2 O 0.000 0.129 0.008
O3 O 0.000 0.293 0.550
O4 O 0.000 0.352 0.250
O5 O 0.000 0.379 0.750
O6 O 0.000 0.433 0.062
O7 O 0.000 0.481 0.750

---

(6)
# CrSn2Pt2 (PBEsol, relaxed)
# ΔH_f (0 K) ... 0.169 eV/atom
# E ... -63.68 eV/cell
# Magnetization ... 0.83 μB/atom
data_CrSn2Pt2
_cell_length_a 4.202
_cell_length_b 4.202
_cell_length_c 11.566
_cell_angle_alpha 90.00
_cell_angle_beta 90.00
_cell_angle_gamma 90.00
_space_group_name_H-M_alt 'I 4/m m m'
_space_group_IT_number 139
_space_group_name_Hall '-I 4 2'
loop_
_atom_site_label
_atom_site_type_symbol
_atom_site_fract_x
_atom_site_fract_y
_atom_site_fract_z
Cr1 Cr 0.000 0.000 0.000
Sn1 Sn 0.000 0.500 0.250
Pt1 Pt 0.000 0.000 0.390

---

(7)
# Fe2NiIr (PBEsol, relaxed)
# ΔH_f (0 K) ... 0.000 eV/atom
# E ... -33.91 eV/cell
# Magnetization ... 1.25 μB/atom
data_Fe2NiIr
_cell_length_a 2.578
_cell_length_b 3.570
_cell_length_c 5.074
_cell_angle_alpha 90.00
_cell_angle_beta 90.00
_cell_angle_gamma 90.00
_space_group_name_H-M_alt 'P m m m'
_space_group_IT_number 47
loop_
_space_group_symop_operation_xyz
'x,y,z'
'-x,-y,-z'
'-x,-y,z'
'x,y,-z'
'x,-y,-z'
'-x,y,z'
'-x,y,-z'
'x,-y,z'
loop_
_atom_site_label
_atom_site_type_symbol
_atom_site_fract_x
_atom_site_fract_y
_atom_site_fract_z
Fe1 Fe 0.000 0.000 0.241
Ni1 Ni 0.500 0.500 0.000
Ir1 Ir 0.500 0.500 0.500

---

(8)
# AgRhBr2 (PBEsol, relaxed)
# E ... -13.76 eV/cell
# ΔE to the lowest computed polymorph ... 394 meV per atom
# Raw formation energy ... 138 kJ/mol of formula units
# Magnetization ... 0.00 μB/atom
data_AgRhBr2
_cell_length_a 4.703
_cell_length_b 4.703
_cell_length_c 3.318
_cell_angle_alpha 90.00
_cell_angle_beta 90.00
_cell_angle_gamma 90.00
_space_group_name_H-M_alt 'P 4/m m m'
_space_group_IT_number 123
_space_group_name_Hall '-P 4 2'
loop_
_atom_site_label
_atom_site_type_symbol
_atom_site_fract_x
_atom_site_fract_y
_atom_site_fract_z
Ag1 Ag 0.000 0.000 0.000
Rh1 Rh 0.500 0.500 0.000
Br1 Br 0.000 0.500 0.500

---

Question: The highest E belongs to which entry?
Answer: AgRhBr2

---

Question: What is the magnetization in the second record?
Answer: 0.00 μB/atom

---

Question: Which formula does entry 4 have?
Answer: CoRuW2

---

What did the seventh record say?
# Fe2NiIr (PBEsol, relaxed)
# ΔH_f (0 K) ... 0.000 eV/atom
# E ... -33.91 eV/cell
# Magnetization ... 1.25 μB/atom
data_Fe2NiIr
_cell_length_a 2.578
_cell_length_b 3.570
_cell_length_c 5.074
_cell_angle_alpha 90.00
_cell_angle_beta 90.00
_cell_angle_gamma 90.00
_space_group_name_H-M_alt 'P m m m'
_space_group_IT_number 47
loop_
_space_group_symop_operation_xyz
'x,y,z'
'-x,-y,-z'
'-x,-y,z'
'x,y,-z'
'x,-y,-z'
'-x,y,z'
'-x,y,-z'
'x,-y,z'
loop_
_atom_site_label
_atom_site_type_symbol
_atom_site_fract_x
_atom_site_fract_y
_atom_site_fract_z
Fe1 Fe 0.000 0.000 0.241
Ni1 Ni 0.500 0.500 0.000
Ir1 Ir 0.500 0.500 0.500